A plane-wave DFT calculation with PBE was carried out for an optimized crystal structure of TbTlSnSe3.

a b c (Å): 8.1554 8.1554 11.6309
angles (deg): 90.01 90.01 29.35
Closest atoms and distances in Å follow each position.
Atoms (fractional coordinates):
Se (0.8745, 0.8745, 0.5005)  2 Tb 2.86, 1 Sn 2.91, 1 Tl 3.09
Se (0.1255, 0.1255, 0.0005)  2 Tb 2.86, 1 Sn 2.91, 1 Tl 3.08
Se (0.1255, 0.1255, 0.4995)  2 Tb 2.86, 1 Sn 2.91, 1 Tl 3.09
Se (0.8745, 0.8745, 0.9995)  2 Tb 2.86, 1 Sn 2.91, 1 Tl 3.08
Se (0.5073, 0.5073, 0.7500)  2 Sn 2.80, 2 Tb 2.91
Se (0.4927, 0.4927, 0.2500)  2 Sn 2.80, 2 Tb 2.91
Tl (0.8081, 0.8081, 0.7500)  2 Se 3.08-3.09
Tl (0.1919, 0.1919, 0.2500)  2 Se 3.08-3.09
Tb (0.5000, 0.5000, 0.5000)  6 Se 2.86-2.91
Tb (0.5000, 0.5000, 0.0000)  6 Se 2.86-2.91
Sn (0.1268, 0.1268, 0.7500)  4 Se 2.80-2.91
Sn (0.8732, 0.8732, 0.2500)  4 Se 2.80-2.91

* symmetry: Cmcm, No. 63
* total moment: 0.00 Bohr magnetons per cell
* energy: -4.53 eV/atom
* calculated density: 6.3 g cm⁻³